1.
# ZnMoP2O

A geometry-optimized ZnMoP2O structure (PBE with a Hubbard U, Alexandria).

Results
Energy, eV/atom: -4.716
SG: P4/mmm, No. 123
DOS at the Fermi energy, states/eV/f.u.: 1.05
Total magnetic moment, μB/atom: 0.00
Relative energy among the computed polymorphs, meV per atom: 0

Lattice parameters (Å, degrees): 4.832 4.832 3.798 90.00 90.00 90.00
Fractional positions:
P 0.000 0.500 0.000
P 0.500 0.000 0.000
Mo 0.000 0.000 0.000
Zn 0.500 0.500 0.500
O 0.000 0.000 0.500

=====

2.
# ZnMoP2O

A geometry-optimized ZnMoP2O structure (PBE with a Hubbard U, Alexandria).

Results
Energy, eV/atom: -4.206
SG: P4/mmm, No. 123
DOS at the Fermi energy, states/eV/f.u.: 3.50
Total magnetic moment, μB/atom: 0.56
Relative energy among the computed polymorphs, meV per atom: 511

Lattice parameters (Å, degrees): 4.819 4.819 3.629 90.00 90.00 90.00
Fractional positions:
P 0.000 0.500 0.000
P 0.500 0.000 0.000
Mo 0.500 0.500 0.500
Zn 0.000 0.000 0.000
O 0.000 0.000 0.500

=====

3.
# ZrMoP2O

A geometry-optimized ZrMoP2O structure (PBE with a Hubbard U, Alexandria).

Results
Energy, eV/atom: -6.572
SG: P4/mmm, No. 123
DOS at the Fermi energy, states/eV/f.u.: 1.54
Total magnetic moment, μB/atom: 0.19
Relative energy among the computed polymorphs, meV per atom: 0

Lattice parameters (Å, degrees): 4.889 4.889 3.731 90.00 90.00 90.00
Fractional positions:
P 0.000 0.500 0.000
P 0.500 0.000 0.000
Mo 0.000 0.000 0.000
O 0.000 0.000 0.500
Zr 0.500 0.500 0.500

=====

4.
# ZrMoPO2

A geometry-optimized ZrMoPO2 structure (PBE with a Hubbard U, Alexandria).

Results
Energy, eV/atom: -7.091
SG: P4/mmm, No. 123
DOS at the Fermi energy, states/eV/f.u.: 2.40
Total magnetic moment, μB/atom: 0.36
Relative energy among the computed polymorphs, meV per atom: 232

Lattice parameters (Å, degrees): 3.903 3.903 5.195 90.00 90.00 90.00
Fractional positions:
P 0.000 0.000 0.500
Mo 0.000 0.000 0.000
O 0.000 0.500 0.000
O 0.500 0.000 0.000
Zr 0.500 0.500 0.500

=====

5.
# ZrMoP2O

A geometry-optimized ZrMoP2O structure (PBE with a Hubbard U, Alexandria).

Results
Energy, eV/atom: -6.496
SG: P4/mmm, No. 123
DOS at the Fermi energy, states/eV/f.u.: 2.66
Total magnetic moment, μB/atom: 0.52
Relative energy among the computed polymorphs, meV per atom: 76

Lattice parameters (Å, degrees): 5.159 5.159 3.974 90.00 90.00 90.00
Fractional positions:
P 0.000 0.500 0.000
P 0.500 0.000 0.000
Mo 0.500 0.500 0.500
O 0.000 0.000 0.500
Zr 0.000 0.000 0.000

=====

6.
# ZrMoPO2

A geometry-optimized ZrMoPO2 structure (PBE with a Hubbard U, Alexandria).

Results
Energy, eV/atom: -7.323
SG: P4/mmm, No. 123
DOS at the Fermi energy, states/eV/f.u.: 2.48
Total magnetic moment, μB/atom: 0.61
Relative energy among the computed polymorphs, meV per atom: 0

Lattice parameters (Å, degrees): 4.039 4.039 5.506 90.00 90.00 90.00
Fractional positions:
P 0.000 0.000 0.500
Mo 0.500 0.500 0.500
O 0.000 0.500 0.000
O 0.500 0.000 0.000
Zr 0.000 0.000 0.000

=====

7.
# PaMoO4

A geometry-optimized PaMoO4 structure (PBE with a Hubbard U, Alexandria).

Results
Energy, eV/atom: -8.857
SG: Cmmm, No. 65
DOS at the Fermi energy, states/eV/f.u.: 0.00
Total magnetic moment, μB/atom: 0.50

Lattice parameters (Å, degrees): 3.536 4.918 4.918 89.60 90.00 90.00
Fractional positions:
Pa 0.500 0.000 0.000
Mo 0.000 0.500 0.500
O 0.500 0.309 0.691
O 0.000 0.809 0.809
O 0.000 0.191 0.191
O 0.500 0.691 0.309

=====

8.
# PaMoO6

A geometry-optimized PaMoO6 structure (PBE with a Hubbard U, Alexandria).

Results
Energy, eV/atom: -7.978
SG: Fm-3m, No. 225
DOS at the Fermi energy, states/eV/f.u.: 5.31
Total magnetic moment, μB/atom: 0.13
Relative energy among the computed polymorphs, meV per atom: 0

Lattice parameters (Å, degrees): 5.796 5.796 5.796 60.00 60.00 60.00
Fractional positions:
Pa 0.500 0.500 0.500
Mo 0.000 0.000 0.000
O 0.235 0.236 0.765
O 0.765 0.235 0.765
O 0.764 0.235 0.235
O 0.235 0.765 0.235
O 0.765 0.764 0.235
O 0.236 0.765 0.765

=====

> energy of number 1 (ZnMoP2O)?

-4.716 eV/atom

=====

> What is the formula in the eighth record?

PaMoO6

=====

Copy entry 4 word for word.
# ZrMoPO2

A geometry-optimized ZrMoPO2 structure (PBE with a Hubbard U, Alexandria).

Results
Energy, eV/atom: -7.091
SG: P4/mmm, No. 123
DOS at the Fermi energy, states/eV/f.u.: 2.40
Total magnetic moment, μB/atom: 0.36
Relative energy among the computed polymorphs, meV per atom: 232

Lattice parameters (Å, degrees): 3.903 3.903 5.195 90.00 90.00 90.00
Fractional positions:
P 0.000 0.000 0.500
Mo 0.000 0.000 0.000
O 0.000 0.500 0.000
O 0.500 0.000 0.000
Zr 0.500 0.500 0.500

=====

> Among the records above, which one has the highest energy?

number 2